# LiLaCe2Se4 PBE-GGA relaxed
data_LiLaCe2Se4
_cell_length_a 4.2117
_cell_length_b 7.3507
_cell_length_c 7.2473
_cell_angle_alpha 70.59
_cell_angle_beta 90.00
_cell_angle_gamma 90.00
_space_group_name_H-M_alt 'P 1'
_space_group_IT_number 1
_space_group_name_Hall 'P 1'
loop_
_atom_site_label
_atom_site_type_symbol
_atom_site_fract_x
_atom_site_fract_y
_atom_site_fract_z
Li1 Li 0.5000 0.5000 0.0000
La1 La 0.0000 0.5000 0.5000
Ce1 Ce 0.0000 0.0000 0.0000
Ce2 Ce 0.5000 0.0000 0.5000
Se1 Se 0.0000 0.7443 0.7598
Se2 Se 0.0000 0.2557 0.2402
Se3 Se 0.5000 0.7484 0.2402
Se4 Se 0.5000 0.2516 0.7598
# Total magnetization ... 2.444 μB/cell
# Calculated total energy ... -5.83 eV/atom
# DOS(E_F) ... 13.320 states/eV/f.u.